Below is a geometry-optimized RbCd2O structure, with properties calculated at the PBE level.

Calculated values
**E_form (uncorrected)**: -313 meV per atom

a b c (Å): 8.3880 8.3880 5.6388
angles (deg): 90.00 90.00 90.00
With the nearest neighbours (Å) after each atom.
Space group I-42d (No. 122)
Unique sites:
Rb1 0.0000 0.0000 0.0000 (multiplicity 4)  2 O 2.82
Cd1 0.1489 0.7500 0.6250 (multiplicity 8)  2 O 2.54
O1 0.0000 0.0000 0.5000 (multiplicity 4)  4 Cd 2.54, 2 Rb 2.82

---

Below is a geometry-optimized Ce2P2I structure, with properties calculated at the PBE level.

Calculated values
**Polymorph energy (0 for the lowest one)**: 0 meV/atom
**E_form (uncorrected)**: -1123 meV per atom

a b c (Å): 4.6874 4.6874 7.9748
angles (deg): 90.00 90.00 120.00
With the nearest neighbours (Å) after each atom.
Space group P-3m1 (No. 164)
Unique sites:
Ce1 0.3333 0.6667 0.2954 (multiplicity 2)  4 P 2.75-2.76
P1 0.3333 0.6667 0.6398 (multiplicity 2)  4 Ce 2.75-2.76
I1 0.0000 0.0000 0.0000 (multiplicity 1)  6 Ce 3.59, 6 P 3.95

---

Below is a geometry-optimized TaTiSb3 structure, with properties calculated at the PBE level.

Calculated values
**Polymorph energy (0 for the lowest one)**: 0 meV/atom
**E_form (uncorrected)**: 876 meV per atom

a b c (Å): 5.3293 5.3293 5.3293
angles (deg): 90.00 90.00 90.00
With the nearest neighbours (Å) after each atom.
Space group Pm-3m (No. 221)
Unique sites:
Ta1 0.0000 0.0000 0.0000 (multiplicity 1)  6 Sb 2.66
Ti1 0.5000 0.5000 0.5000 (multiplicity 1)  12 Sb 3.77
Sb1 0.0000 0.0000 0.5000 (multiplicity 3)  2 Ta 2.66

---

Below is a geometry-optimized TbPm6Dy2Er structure, with properties calculated at the PBE level.

Calculated values
**Energy of formation**: 0.12 eV per atom

a b c (Å): 9.2079 15.2620 9.6233
angles (deg): 90.00 97.44 90.00
With the nearest neighbours (Å) after each atom.
Space group C2/c (No. 15)
Unique sites:
Tb1 0.0000 0.0266 0.2500 (multiplicity 4)  4 Dy 3.42-3.44, 4 Pm 3.59-3.67
Pm1 0.0607 0.1795 0.9455 (multiplicity 8)  7 Pm 3.44-3.78, 1 Dy 3.49, 2 Tb 3.67-3.84
Pm2 0.0998 0.3915 0.1185 (multiplicity 8)  4 Pm 3.27-3.64, 3 Dy 3.28-3.47, 2 Er 3.45-3.56
Pm3 0.2115 0.2232 0.3131 (multiplicity 8)  2 Pm 3.27-3.62, 1 Dy 3.46, 1 Er 3.46, 1 Tb 3.59
Dy1 0.2503 0.0496 0.5455 (multiplicity 8)  5 Pm 3.28-3.49, 2 Tb 3.42-3.44, 1 Er 3.54
Er1 0.0000 0.4104 0.7500 (multiplicity 4)  6 Pm 3.45-3.56, 2 Dy 3.54

---

Below is a geometry-optimized La2Ni3P4Ru structure, with properties calculated at the PBE level.

Calculated values
**Energy of formation**: -0.98 eV per atom

a b c (Å): 4.0894 4.0894 9.4931
angles (deg): 90.00 90.00 90.00
With the nearest neighbours (Å) after each atom.
Space group P-4m2 (No. 115)
Unique sites:
La1 0.0000 0.5000 0.2403 (multiplicity 2)  8 P 3.06-3.13, 7 Ni 3.14-3.34, 2 Ru 3.20
Ni1 0.0000 0.5000 0.8889 (multiplicity 2)  5 P 2.30-2.42
Ni2 0.5000 0.5000 0.5000 (multiplicity 1)  4 P 2.41
P1 0.0000 0.0000 0.0000 (multiplicity 1)  4 Ni 2.30
P2 0.0000 0.5000 0.6344 (multiplicity 2)  3 Ni 2.41-2.42, 2 Ru 2.41
P3 0.5000 0.5000 0.0000 (multiplicity 1)  4 Ni 2.30
Ru1 0.0000 0.0000 0.5000 (multiplicity 1)  4 P 2.41

---

Below is a geometry-optimized Cs4Cl2O structure, with properties calculated at the PBE level.

Calculated values
**E_form (uncorrected)**: -1511 meV per atom

a b c (Å): 8.3502 7.9092 9.8365
angles (deg): 90.00 108.02 90.00
With the nearest neighbours (Å) after each atom.
Space group P2_1/m (No. 11)
Unique sites:
Cs1 0.0244 0.0067 0.2537 (multiplicity 4)  1 O 2.65
Cs2 0.4304 0.2500 0.1320 (multiplicity 2)  1 O 2.64
Cs3 0.4480 0.2500 0.5839 (multiplicity 2)  1 O 2.65
Cl1 0.2182 0.7500 0.5637 (multiplicity 2)  6 Cs 3.48-3.64
Cl2 0.2413 0.7500 0.0520 (multiplicity 2)  6 Cs 3.68-3.72
O1 0.2538 0.2500 0.3135 (multiplicity 2)  4 Cs 2.64-2.65

---

Below is a geometry-optimized Al3GeRu4 structure, with properties calculated at the PBE level.

Calculated values
**Energy of formation**: -0.59 eV per atom

a b c (Å): 3.0142 4.2530 8.5009
angles (deg): 90.00 90.00 90.00
With the nearest neighbours (Å) after each atom.
Space group Pmmm (No. 47)
Unique sites:
Al1 0.0000 0.0000 0.0000 (multiplicity 1)  8 Ru 2.61-2.65
Al2 0.0000 0.5000 0.2439 (multiplicity 2)  8 Ru 2.56-2.65
Ge1 0.0000 0.0000 0.5000 (multiplicity 1)  8 Ru 2.57-2.61
Ru1 0.5000 0.0000 0.2557 (multiplicity 2)  2 Ge 2.57, 6 Al 2.61-2.65
Ru2 0.5000 0.5000 0.0000 (multiplicity 1)  8 Al 2.56-2.61
Ru3 0.5000 0.5000 0.5000 (multiplicity 1)  4 Ge 2.61, 4 Al 2.65

---

Below is a geometry-optimized Fe2AsP structure, with properties calculated at the PBE level.

Calculated values
**Energy of formation**: 0.02 eV per atom

a b c (Å): 5.7350 5.7350 5.7350
angles (deg): 90.00 90.00 90.00
With the nearest neighbours (Å) after each atom.
Space group Fm-3m (No. 225)
Unique sites:
Fe1 0.2500 0.2500 0.2500 (multiplicity 8)  4 As 2.48, 4 P 2.48
As1 0.0000 0.0000 0.0000 (multiplicity 4)  8 Fe 2.48
P1 0.0000 0.0000 0.5000 (multiplicity 4)  8 Fe 2.48

---

Below is a geometry-optimized NbTcW5 structure, with properties calculated at the PBE level.

Calculated values
**Energy of formation**: 0.33 eV per atom

a b c (Å): 6.9386 7.9147 9.0417
angles (deg): 90.00 108.73 90.00
With the nearest neighbours (Å) after each atom.
Space group C2/c (No. 15)
Unique sites:
Nb1 0.0000 0.2430 0.2500 (multiplicity 4)  9 W 2.76-2.94
Tc1 0.2500 0.2500 0.0000 (multiplicity 4)  6 W 2.60-2.81
W1 0.0000 0.1138 0.7500 (multiplicity 4)  4 W 2.54-2.83, 2 Tc 2.60, 1 Nb 2.82
W2 0.1097 0.4278 0.6492 (multiplicity 8)  5 W 2.64-2.90, 1 Tc 2.81, 2 Nb 2.90-2.94
W3 0.1815 0.0773 0.5488 (multiplicity 8)  3 W 2.54-2.68, 1 Tc 2.70, 1 Nb 2.76

---

Below is a geometry-optimized Cd3Ni structure, with properties calculated at the PBE level.

Calculated values
**Energy of formation**: 0.14 eV per atom

a b c (Å): 5.9685 7.7836 3.1933
angles (deg): 90.00 90.00 90.00
With the nearest neighbours (Å) after each atom.
Space group Cmmm (No. 65)
Unique sites:
Cd1 0.0000 0.0000 0.0000 (multiplicity 2)  10 Cd 2.93-3.19, 2 Ni 2.98
Cd2 0.2500 0.2500 0.5000 (multiplicity 4)  8 Cd 2.93-3.19, 4 Ni 2.93
Ni1 0.0000 0.5000 0.0000 (multiplicity 2)  10 Cd 2.93-2.98, 2 Ni 3.19

---

Below is a geometry-optimized Na2SrAg structure, with properties calculated at the PBE level.

Calculated values
**Energy of formation**: -0.08 eV per atom
**Polymorph energy (0 for the lowest one)**: 0 meV/atom

a b c (Å): 4.7536 9.6030 6.3031
angles (deg): 90.00 112.10 90.00
With the nearest neighbours (Å) after each atom.
Space group P2_1/m (No. 11)
Unique sites:
Na1 0.1546 0.0562 0.3092 (multiplicity 4)  3 Ag 3.18-3.19, 2 Na 3.43
Sr1 0.4475 0.2500 0.8938 (multiplicity 2)  3 Ag 3.37-3.45
Ag1 0.2573 0.7500 0.5161 (multiplicity 2)  6 Na 3.18-3.19, 3 Sr 3.37-3.45

---

Below is a geometry-optimized GdAl8Cu4 structure, with properties calculated at the PBE level.

Calculated values
**Energy of formation**: -0.32 eV per atom

a b c (Å): 8.8409 8.8409 5.1299
angles (deg): 90.00 90.00 90.00
With the nearest neighbours (Å) after each atom.
Space group I4/mmm (No. 139)
Unique sites:
Gd1 0.0000 0.0000 0.0000 (multiplicity 2)  12 Al 3.07-3.21, 8 Cu 3.38
Al1 0.0000 0.2186 0.5000 (multiplicity 8)  4 Cu 2.57, 6 Al 2.73-2.83
Al2 0.0000 0.3477 0.0000 (multiplicity 8)  5 Al 2.69-2.83, 4 Cu 2.70
Cu1 0.2500 0.2500 0.2500 (multiplicity 8)  2 Cu 2.56, 8 Al 2.57-2.70

---

Number 1: V 24.8 Å³ per atom. Number 2: V 30.3 Å³ per atom. Number 3: V 30.3 Å³ per atom. Number 4: V 33.5 Å³ per atom. Number 5: V 15.9 Å³ per atom. Number 6: V 44.1 Å³ per atom. Number 7: V 13.6 Å³ per atom. Number 8: V 11.8 Å³ per atom. Number 9: V 16.8 Å³ per atom. Number 10: V 18.5 Å³ per atom. Number 11: V 33.3 Å³ per atom. Number 12: V 15.4 Å³ per atom.